1.
First-principles (PBEsol) data for crystalline ZrIn2Tc at its relaxed geometry, as listed in Alexandria via LeMat-Bulk.

Cell lengths 2.9451, 5.4007, 5.4007 Å; angles 115.72, 96.48, 96.48 degrees
With the nearest neighbours (Å) after each atom.
Atoms (fractional coordinates):
In (0.0000, 0.0000, 0.5000)  4 In 2.87-2.95, 2 Tc 2.93, 2 Zr 2.93
In (0.0000, 0.5000, 0.0000)  4 In 2.87-2.95, 2 Zr 2.93, 2 Tc 2.93
Tc (0.5000, 0.5000, 0.5000)  2 Zr 2.87, 4 In 2.93, 2 Tc 2.95
Zr (0.5000, 0.0000, 0.0000)  2 Tc 2.87, 4 In 2.93, 2 Zr 2.95

Energy relative to the elements = 0.09 eV per atom
Spin magnetization = 0.1 μB/cell
Symmetry = C2/m, No. 12

=====

2.
First-principles (PBEsol) data for crystalline La2TcCl at its relaxed geometry, as listed in Alexandria via LeMat-Bulk.

Cell lengths 3.7480, 4.5751, 5.7710 Å; angles 90.00, 90.00, 90.00 degrees
With the nearest neighbours (Å) after each atom.
Atoms (fractional coordinates):
La (0.0000, 0.0000, 0.9216)  1 Tc 2.35
La (0.5000, 0.5000, 0.3755)  2 Cl 2.87-2.90, 4 Tc 2.97
Tc (0.0000, 0.0000, 0.3292)  1 La 2.35
Cl (0.5000, 0.5000, 0.8737)  6 La 2.87-2.97

Spin magnetization = 0.0 μB/cell
Symmetry = Pmm2, No. 25
Formation energy from raw total energies = -0.718 eV per atom

=====

3.
First-principles (PBEsol) data for crystalline RbCaMn2Cr at its relaxed geometry, as listed in Alexandria via LeMat-Bulk.

Cell lengths 4.7003, 4.7003, 5.5905 Å; angles 90.00, 90.00, 90.00 degrees
With the nearest neighbours (Å) after each atom.
Atoms (fractional coordinates):
Cr (0.0000, 0.0000, 0.0000)  4 Mn 2.35
Ca (0.0000, 0.0000, 0.5000)  2 Cr 2.80
Mn (0.0000, 0.5000, 0.0000)  2 Cr 2.35
Mn (0.5000, 0.0000, 0.0000)  2 Cr 2.35
Rb (0.5000, 0.5000, 0.5000)  4 Ca 3.32, 8 Mn 3.65

Energy relative to the elements = 1.06 eV per atom
Spin magnetization = 5.0 μB/cell
Symmetry = P4/mmm, No. 123

=====

4.
First-principles (PBEsol) data for crystalline LiNb2C at its relaxed geometry, as listed in Alexandria via LeMat-Bulk.

Cell lengths 5.1641, 5.2859, 5.2859 Å; angles 76.20, 60.76, 60.76 degrees
With the nearest neighbours (Å) after each atom.
Atoms (fractional coordinates):
Nb (0.0664, 0.0586, 0.5586)  2 C 2.15
Nb (0.6836, 0.9414, 0.4414)  2 C 2.15
Nb (0.3750, 0.5586, 0.9414)  2 C 2.15
Nb (0.8750, 0.4414, 0.0586)  2 C 2.15
C (0.7500, 0.5000, 0.5000)  4 Nb 2.15
C (0.0000, 0.0000, 0.0000)  4 Nb 2.15
Li (0.2500, 0.5000, 0.5000)  2 C 2.58, 8 Nb 2.67-2.82
Li (0.5000, 0.0000, 0.0000)  2 C 2.58, 8 Nb 2.67-2.82

Energy relative to the elements = 0.38 eV per atom
Spin magnetization = 0.0 μB/cell
Symmetry = I-42d, No. 122

=====

5.
First-principles (PBEsol) data for crystalline BaWBr2 at its relaxed geometry, as listed in Alexandria via LeMat-Bulk.

Cell lengths 3.9526, 3.9526, 7.5690 Å; angles 90.00, 90.00, 90.00 degrees
With the nearest neighbours (Å) after each atom.
Atoms (fractional coordinates):
Br (0.0000, 0.0000, 0.7363)  4 Ba 3.32, 4 W 3.43, 1 Br 3.58
Br (0.0000, 0.0000, 0.2637)  4 Ba 3.32, 4 W 3.43, 1 Br 3.58
Ba (0.5000, 0.5000, 0.5000)  8 Br 3.32
W (0.5000, 0.5000, 0.0000)  8 Br 3.43, 2 Ba 3.78

Spin magnetization = 5.5 μB/cell
Symmetry = P4/mmm, No. 123
Formation energy from raw total energies = 0.488 eV per atom

=====

6.
First-principles (PBEsol) data for crystalline MgAsRhSe2 at its relaxed geometry, as listed in Alexandria via LeMat-Bulk.

Cell lengths 4.4508, 5.0751, 5.0751 Å; angles 90.00, 90.00, 90.00 degrees
With the nearest neighbours (Å) after each atom.
Atoms (fractional coordinates):
As (0.5000, 0.0000, 0.0000)  2 Rh 2.23
Rh (0.0000, 0.0000, 0.0000)  2 As 2.23
Mg (0.5000, 0.5000, 0.5000)  8 Se 3.38, 4 As 3.59
Se (0.0000, 0.0000, 0.5000)  2 Rh 2.54
Se (0.0000, 0.5000, 0.0000)  2 Rh 2.54

Spin magnetization = 0.0 μB/cell
Symmetry = P4/mmm, No. 123
Formation energy from raw total energies = 0.086 eV per atom

=====

7.
First-principles (PBEsol) data for crystalline BeCd2Te at its relaxed geometry, as listed in Alexandria via LeMat-Bulk.

Cell lengths 3.5798, 3.7104, 6.8827 Å; angles 105.64, 105.07, 90.00 degrees
With the nearest neighbours (Å) after each atom.
Atoms (fractional coordinates):
Be (0.5000, 0.0000, 0.0000)  4 Te 2.58
Te (0.0000, 0.5000, 0.0000)  4 Be 2.58
Cd (0.8045, 0.8045, 0.6091)  4 Cd 2.93, 2 Be 3.07, 2 Te 3.11
Cd (0.1955, 0.1955, 0.3909)  4 Cd 2.93, 2 Be 3.07, 2 Te 3.11

Spin magnetization = 0.0 μB/cell
Symmetry = Immm, No. 71
Formation energy from raw total energies = 0.224 eV per atom

=====

8.
First-principles (PBEsol) data for crystalline HgOs2Ru at its relaxed geometry, as listed in Alexandria via LeMat-Bulk.

Cell lengths 2.7326, 4.7267, 4.8191 Å; angles 90.00, 90.84, 90.00 degrees
With the nearest neighbours (Å) after each atom.
Atoms (fractional coordinates):
Hg (0.0000, 0.5000, 0.0000)  2 Hg 2.73, 4 Ru 2.75-2.79, 4 Os 2.77
Os (0.7749, 0.0000, 0.7285)  4 Os 2.54-2.73, 2 Ru 2.71, 2 Hg 2.77
Os (0.2251, 0.0000, 0.2715)  4 Os 2.54-2.73, 2 Ru 2.71, 2 Hg 2.77
Ru (0.5000, 0.5000, 0.5000)  4 Os 2.71, 2 Ru 2.73, 4 Hg 2.75-2.79

Energy relative to the elements = 0.92 eV per atom
Spin magnetization = 1.7 μB/cell
Symmetry = P2/m, No. 10

=====

9.
First-principles (PBEsol) data for crystalline Ag2Au at its relaxed geometry, as listed in Alexandria via LeMat-Bulk.

Cell lengths 4.7323, 4.9339, 4.9339 Å; angles 60.29, 90.00, 90.00 degrees
With the nearest neighbours (Å) after each atom.
Atoms (fractional coordinates):
Au (0.2500, 0.8354, 0.1646)  10 Ag 2.85-2.88, 2 Au 2.87
Au (0.7500, 0.1646, 0.8354)  10 Ag 2.85-2.88, 2 Au 2.87
Ag (0.2500, 0.1682, 0.4995)  7 Ag 2.84-2.89, 5 Au 2.85-2.88
Ag (0.7500, 0.8318, 0.5005)  7 Ag 2.84-2.89, 5 Au 2.85-2.88
Ag (0.2500, 0.5005, 0.8318)  7 Ag 2.84-2.89, 5 Au 2.85-2.88
Ag (0.7500, 0.4995, 0.1682)  7 Ag 2.84-2.89, 5 Au 2.85-2.88

Energy relative to the elements = -0.04 eV per atom
Spin magnetization = 0.0 μB/cell
Symmetry = Cmcm, No. 63

=====

10.
First-principles (PBEsol) data for crystalline Mn2AsIr at its relaxed geometry, as listed in Alexandria via LeMat-Bulk.

Cell lengths 3.6545, 3.6428, 4.5593 Å; angles 113.55, 113.63, 90.00 degrees
With the nearest neighbours (Å) after each atom.
Atoms (fractional coordinates):
As (0.0000, 0.5000, 0.0000)  4 Ir 2.58, 8 Mn 2.62
Ir (0.5000, 0.0000, 0.0000)  4 As 2.58, 8 Mn 2.62
Mn (0.7503, 0.7503, 0.5007)  4 Mn 2.58, 4 As 2.62, 4 Ir 2.62
Mn (0.2497, 0.2497, 0.4993)  4 Mn 2.58, 4 As 2.62, 4 Ir 2.62

Energy relative to the elements = 0.07 eV per atom
Spin magnetization = 3.0 μB/cell
Symmetry = Immm, No. 71

=====

11.
First-principles (PBEsol) data for crystalline LiCuP2O6 at its relaxed geometry, as listed in Alexandria via LeMat-Bulk.

Cell lengths 4.7136, 7.4018, 7.4018 Å; angles 91.46, 104.92, 104.92 degrees
With the nearest neighbours (Å) after each atom.
Atoms (fractional coordinates):
Li (0.7500, 0.2280, 0.7720)  4 O 1.87-2.04
Li (0.2500, 0.7720, 0.2280)  4 O 1.87-2.04
Cu (0.2500, 0.0953, 0.9047)  2 O 1.86
Cu (0.7500, 0.9047, 0.0953)  2 O 1.86
P (0.2441, 0.6273, 0.7998)  4 O 1.48-1.62
P (0.7559, 0.3727, 0.2002)  4 O 1.48-1.62
P (0.7441, 0.7998, 0.6273)  4 O 1.48-1.62
P (0.2559, 0.2002, 0.3727)  4 O 1.48-1.62
O (0.9782, 0.2905, 0.3612)  2 P 1.60-1.62
O (0.3983, 0.1837, 0.5718)  1 P 1.48
O (0.1017, 0.4282, 0.8163)  1 P 1.48
O (0.3523, 0.7647, 0.9762)  1 P 1.52
O (0.1477, 0.0238, 0.2353)  1 P 1.52
O (0.6477, 0.2353, 0.0238)  1 P 1.52
O (0.8983, 0.5718, 0.1837)  1 P 1.48
O (0.5218, 0.6388, 0.7095)  2 P 1.60-1.62
O (0.8523, 0.9762, 0.7647)  1 P 1.52
O (0.4782, 0.3612, 0.2905)  2 P 1.60-1.62
O (0.0218, 0.7095, 0.6388)  2 P 1.60-1.62
O (0.6017, 0.8163, 0.4282)  1 P 1.48

Spin magnetization = 0.0 μB/cell
Symmetry = C2/c, No. 15
Formation energy from raw total energies = -1.897 eV per atom

=====

12.
First-principles (PBEsol) data for crystalline Mg2SiTc at its relaxed geometry, as listed in Alexandria via LeMat-Bulk.

Cell lengths 3.4148, 4.1072, 4.3252 Å; angles 90.00, 90.00, 90.00 degrees
With the nearest neighbours (Å) after each atom.
Atoms (fractional coordinates):
Mg (0.0000, 0.0000, 0.0000)  4 Mg 2.67, 4 Si 2.76, 4 Tc 2.98
Mg (0.5000, 0.5000, 0.0000)  4 Mg 2.67, 4 Tc 2.76, 4 Si 2.98
Si (0.5000, 0.0000, 0.5000)  4 Tc 2.67, 8 Mg 2.76-2.98
Tc (0.0000, 0.5000, 0.5000)  4 Si 2.67, 8 Mg 2.76-2.98

Spin magnetization = 0.0 μB/cell
Symmetry = Pmmm, No. 47
Formation energy from raw total energies = 0.090 eV per atom

=====

Among the records above, which one has the highest spin magnetization? BaWBr2